# Na2PaPbO6 PBE-GGA relaxed
data_Na2PaPbO6
_chemical_formula_sum 'Na6 Pa3 Pb3 O18'
_space_group_name_H-M_alt 'R 3'
_space_group_IT_number 146
_space_group_name_Hall 'R 3'
_cell_length_a 5.8523
_cell_length_b 5.8523
_cell_length_c 14.8559
_cell_angle_alpha 90.00
_cell_angle_beta 90.00
_cell_angle_gamma 120.00
loop_
_atom_site_label
_atom_site_fract_x
_atom_site_fract_y
_atom_site_fract_z
_atom_site_occupancy
Na1 0.0000 0.0000 0.0000 1
Na2 0.0000 0.0000 0.4986 1
Pa1 0.0000 0.0000 0.2274 1
Pb1 0.0000 0.0000 0.7285 1
O1 0.0737 0.7370 0.3056 1
O2 0.0767 0.3457 0.8069 1
# Raw formation energy in eV/atom: -1.963
# N(E_F) in states/eV/atom: 0.9485
# Calculated density in g/cm3: 6.559

---

# Mg2OsAu PBE-GGA relaxed
data_Mg2OsAu
_chemical_formula_sum 'Mg4 Os2 Au2'
_space_group_name_H-M_alt 'I -4 m 2'
_space_group_IT_number 119
_space_group_name_Hall 'I -4 -2'
_cell_length_a 3.9245
_cell_length_b 3.9245
_cell_length_c 8.6710
_cell_angle_alpha 90.00
_cell_angle_beta 90.00
_cell_angle_gamma 90.00
loop_
_atom_site_label
_atom_site_fract_x
_atom_site_fract_y
_atom_site_fract_z
_atom_site_occupancy
Mg1 0.0000 0.0000 0.0000 1
Mg2 0.0000 0.5000 0.2500 1
Os1 0.0000 0.5000 0.7500 1
Au1 0.0000 0.0000 0.5000 1
# N(E_F) in states/eV/atom: 0.7819
# Calculated density in g/cm3: 10.838
# Calculated formation energy in kJ/mol of formula units: 41

---

no.,electronic total energy (eV/atom)
1,-6.52
2,-4.32